Compound: Sr6P2SeI3
Source: Alexandria
Functional: PBE-GGA
Structure: optimized geometry

abc: 7.851 7.851 8.228
angles: 99.14 99.14 120.00
Positions (direct):
1 Sr 0.088 0.433 0.799
2 Sr 0.222 0.222 0.199
3 Sr 0.433 0.088 0.799
4 Sr 0.567 0.912 0.201
5 Sr 0.778 0.778 0.801
6 Sr 0.912 0.567 0.201
7 P 0.167 0.833 0.000
8 P 0.833 0.167 0.000
9 Se 0.500 0.500 0.000
10 I 0.000 0.000 0.500
11 I 0.337 0.663 0.500
12 I 0.663 0.337 0.500

Properties
E_form (uncorrected) in eV per formula unit: -17.99
Symmetry: C2/m
Raw total energy in eV/atom: -3.92